The following is a DFT calculation (PBE+U) of an optimized crystal structure of Ni2BIF.

Geometry as POSCAR:
```
Ni2BIF
1.0
4.145 0.000 0.000
0.000 4.756 0.000
0.000 0.000 4.145
I Ni B F
1 2 1 1
Direct
0.500 0.500 0.500 I
0.000 0.000 0.500 Ni
0.500 0.000 0.000 Ni
0.000 0.500 0.000 B
0.000 0.000 0.000 F
```

Calculated values
E_tot (eV/cell): -11.4
Density of states at the Fermi level (states/eV per cell): 2.0